Entry 1:
# LiBi3O6 GGA-PBEsol optimized geometry
data_LiBi3O6
_cell_length_a 9.6337
_cell_length_b 9.6337
_cell_length_c 10.9268
_cell_angle_alpha 90.00
_cell_angle_beta 90.00
_cell_angle_gamma 120.00
_symmetry_space_group_name_H-M 'R -3'
_symmetry_Int_Tables_number 148
_symmetry_space_group_name_Hall '-R 3'
loop_
_atom_site_label
_atom_site_type_symbol
_atom_site_fract_x
_atom_site_fract_y
_atom_site_fract_z
Li1 Li 0.0000 0.0000 0.0000
Li2 Li 0.0000 0.0000 0.5000
Bi1 Bi 0.0444 0.7810 0.1978
O1 O 0.0189 0.8032 0.3973
O2 O 0.0319 0.8456 0.8761
# - formation energy (no corrections) (meV per atom) = -1171
# - mass density (Mg/m³) = 8.28
# - calculated total energy (hartree per atom) = -0.21326
# - polymorph energy (0 for the lowest one) (meV/atom) = 0



Entry 2:
# Li5Bi4O12 GGA-PBEsol optimized geometry
data_Li5Bi4O12
_cell_length_a 5.4183
_cell_length_b 10.0276
_cell_length_c 10.6433
_cell_angle_alpha 76.23
_cell_angle_beta 78.08
_cell_angle_gamma 79.97
_symmetry_space_group_name_H-M 'P -1'
_symmetry_Int_Tables_number 2
loop_
_symmetry_equiv_pos_as_xyz
'x,y,z'
'-x,-y,-z'
loop_
_atom_site_label
_atom_site_type_symbol
_atom_site_fract_x
_atom_site_fract_y
_atom_site_fract_z
Li1 Li 0.0734 0.0872 0.3740
Li2 Li 0.2691 0.4047 0.7324
Li3 Li 0.2825 0.3865 0.3156
Li4 Li 0.2884 0.2436 0.0382
Li5 Li 0.3329 0.8817 0.1846
Bi1 Bi 0.1781 0.9266 0.8869
Bi2 Bi 0.2223 0.6075 0.4756
Bi3 Bi 0.2326 0.5912 0.9792
Bi4 Bi 0.3598 0.1112 0.5933
O1 O 0.9996 0.4679 0.6327
O2 O 0.0173 0.0652 0.7321
O3 O 0.0725 0.7518 0.8360
O4 O 0.1271 0.2407 0.4613
O5 O 0.1450 0.4175 0.9138
O6 O 0.2061 0.0652 0.0050
O7 O 0.2757 0.9453 0.5180
O8 O 0.3398 0.7661 0.0324
O9 O 0.3904 0.4341 0.1264
O10 O 0.4794 0.0360 0.2420
O11 O 0.4838 0.5434 0.6132
O12 O 0.4880 0.7474 0.3330
# - formation energy (no corrections) (meV per atom) = -1307
# - mass density (Mg/m³) = 6.48
# - calculated total energy (hartree per atom) = -0.20546



Entry 3:
# Li3Bi2P3O12 GGA-PBEsol optimized geometry
data_Li3Bi2P3O12
_cell_length_a 14.4974
_cell_length_b 9.4995
_cell_length_c 8.5432
_cell_angle_alpha 90.00
_cell_angle_beta 120.19
_cell_angle_gamma 90.00
_symmetry_space_group_name_H-M 'C 1 2/c 1'
_symmetry_Int_Tables_number 15
loop_
_symmetry_equiv_pos_as_xyz
'x,y,z'
'-x,-y,-z'
'-x,y,-z+1/2'
'x,-y,z+1/2'
'x+1/2,y+1/2,z'
'-x+1/2,-y+1/2,-z'
'-x+1/2,y+1/2,-z+1/2'
'x+1/2,-y+1/2,z+1/2'
loop_
_atom_site_label
_atom_site_type_symbol
_atom_site_fract_x
_atom_site_fract_y
_atom_site_fract_z
Li1 Li 0.1613 0.0124 0.0940
Li2 Li 0.2500 0.2500 0.5000
Bi1 Bi 0.1059 0.2666 0.6829
P1 P 0.0000 0.0748 0.2500
P2 P 0.1834 0.4237 0.0570
O1 O 0.0647 0.0189 0.6914
O2 O 0.0703 0.3623 0.9487
O3 O 0.0825 0.1646 0.4133
O4 O 0.1851 0.4137 0.5772
O5 O 0.2420 0.3887 0.9523
O6 O 0.2433 0.3576 0.2508
# - formation energy (no corrections) (meV per atom) = -2087
# - mass density (Mg/m³) = 4.73
# - calculated total energy (hartree per atom) = -0.25096
# - polymorph energy (0 for the lowest one) (meV/atom) = 16



Entry 4:
# Li2Bi3P9O28 GGA-PBEsol optimized geometry
data_Li2Bi3P9O28
_cell_length_a 7.0061
_cell_length_b 9.6355
_cell_length_c 9.8419
_cell_angle_alpha 113.82
_cell_angle_beta 95.23
_cell_angle_gamma 106.66
_symmetry_space_group_name_H-M 'P -1'
_symmetry_Int_Tables_number 2
loop_
_symmetry_equiv_pos_as_xyz
'x,y,z'
'-x,-y,-z'
loop_
_atom_site_label
_atom_site_type_symbol
_atom_site_fract_x
_atom_site_fract_y
_atom_site_fract_z
Li1 Li 0.1202 0.2308 0.3892
Bi1 Bi 0.2823 0.7392 0.4702
Bi2 Bi 0.5000 0.5000 0.0000
P1 P 0.0000 0.0000 0.0000
P2 P 0.1039 0.3663 0.1640
P3 P 0.2158 0.5332 0.7076
P4 P 0.2937 0.9783 0.2417
P5 P 0.3196 0.0613 0.8159
O1 O 0.0650 0.1896 0.1493
O2 O 0.0650 0.3632 0.5887
O3 O 0.1037 0.9392 0.1169
O4 O 0.1102 0.6061 0.8477
O5 O 0.1764 0.9270 0.6634
O6 O 0.1836 0.3944 0.0384
O7 O 0.2257 0.4704 0.3295
O8 O 0.2310 0.0587 0.9561
O9 O 0.2522 0.8416 0.2843
O10 O 0.2575 0.6557 0.6451
O11 O 0.3464 0.1467 0.3731
O12 O 0.3894 0.2265 0.8217
O13 O 0.4056 0.5236 0.7820
O14 O 0.4798 0.9832 0.1556
# - formation energy (no corrections) (meV per atom) = -2035
# - mass density (Mg/m³) = 4.01
# - calculated total energy (hartree per atom) = -0.26370